# 1
The following is a GGA-PBE calculation of crystalline PrEuGdLu at its relaxed geometry, from Alexandria via LeMat-Bulk.

Results
Size of the total moment   0.03 μB/atom
Crystal system   cubic
Formation energy from the elements   0.512 eV/f.u.
Mass density   7.54 g/cm3

```
PrEuGdLu
1.0
0.000 4.097 4.097
4.097 0.000 4.097
4.097 4.097 0.000
Pr Eu Gd Lu
1 1 1 1
Cartesian
0.000 0.000 0.000 Pr
6.146 6.146 6.146 Eu
4.097 4.097 4.097 Gd
2.049 2.049 2.049 Lu
```

# 2
The following is a GGA-PBE calculation of crystalline AlZn at its relaxed geometry, from Alexandria via LeMat-Bulk.

Results
Size of the total moment   0.00 μB/atom
Crystal system   hexagonal
Formation energy from the elements   0.216 eV/f.u.
Mass density   4.40 g/cm3

```
AlZn
1.0
7.412 0.000 0.000
-3.706 6.419 0.000
0.000 0.000 4.401
Al Zn
6 6
Cartesian
-1.560 3.965 1.100 Al
1.053 3.086 1.100 Al
3.199 0.631 3.301 Al
0.507 5.788 1.100 Al
2.653 3.333 3.301 Al
5.266 2.455 3.301 Al
-2.625 5.133 3.301 Zn
0.574 1.580 3.301 Zn
1.655 0.293 1.100 Zn
2.051 6.126 3.301 Zn
3.133 4.840 1.100 Zn
6.331 1.287 1.100 Zn
```

# 3
The following is a GGA-PBE calculation of crystalline LaSb2Pd2 at its relaxed geometry, from Alexandria via LeMat-Bulk.

Results
Size of the total moment   0.00 μB/atom
Formation energy from raw total energies   -0.8918 eV per atom
Crystal system   tetragonal
Mass density   8.50 g/cm3

```
LaSb2Pd2
1.0
4.694 0.000 0.000
0.000 4.694 0.000
0.000 0.000 10.557
La Sb Pd
2 4 4
Cartesian
1.174 1.174 2.548 La
3.521 3.521 8.010 La
1.174 1.174 9.212 Sb
1.174 3.521 5.279 Sb
3.521 1.174 5.279 Sb
3.521 3.521 1.345 Sb
1.174 1.174 6.599 Pd
1.174 3.521 0.000 Pd
3.521 1.174 0.000 Pd
3.521 3.521 3.958 Pd
```

# 4
The following is a GGA-PBE calculation of crystalline CuS2BrN at its relaxed geometry, from Alexandria via LeMat-Bulk.

Results
Size of the total moment   0.16 μB/atom
Formation energy from raw total energies   1.7666 eV per atom
Crystal system   tetragonal
Mass density   4.02 g/cm3
E above lowest polymorph   555 meV/atom

```
CuS2BrN
1.0
4.984 0.000 0.000
0.000 4.984 0.000
0.000 0.000 3.689
Cu S Br N
1 2 1 1
Cartesian
0.000 0.000 0.000 Cu
0.000 2.492 1.845 S
2.492 0.000 1.845 S
2.492 2.492 1.845 Br
2.492 2.492 0.000 N
```

# 5
The following is a GGA-PBE calculation of crystalline TmTa2WC4 at its relaxed geometry, from Alexandria via LeMat-Bulk.

Results
Size of the total moment   0.00 μB/atom
Crystal system   orthorhombic
Formation energy from the elements   -2.136 eV/f.u.
Mass density   12.25 g/cm3

```
TmTa2WC4
1.0
1.597 -5.682 0.000
1.597 5.682 0.000
0.000 0.000 11.393
Tm Ta W C
2 4 2 8
Cartesian
1.597 4.340 8.545 Tm
1.597 -4.340 2.848 Tm
1.597 1.474 6.062 Ta
1.597 1.474 11.027 Ta
1.597 -1.474 0.366 Ta
1.597 -1.474 5.331 Ta
1.597 3.986 2.848 W
1.597 -3.986 8.545 W
0.000 0.000 0.000 C
0.000 0.000 5.696 C
1.597 2.714 1.310 C
1.597 2.714 4.387 C
1.597 0.449 8.545 C
1.597 -0.449 2.848 C
1.597 -2.714 7.006 C
1.597 -2.714 10.083 C
```

# 6
The following is a GGA-PBE calculation of crystalline NaCaLa2 at its relaxed geometry, from Alexandria via LeMat-Bulk.

Results
Size of the total moment   0.00 μB/atom
Crystal system   tetragonal
Formation energy from the elements   1.417 eV/f.u.
Mass density   3.81 g/cm3
E above lowest polymorph   100 meV/atom

```
NaCaLa2
1.0
-4.724 4.724 3.328
4.724 -4.724 3.328
4.724 4.724 -3.328
Na Ca La
2 2 4
Cartesian
0.000 0.000 0.000 Na
0.000 4.724 1.664 Na
4.724 0.000 1.664 Ca
0.000 0.000 3.328 Ca
7.086 2.226 -0.832 La
2.226 2.362 0.832 La
-2.362 2.498 2.496 La
2.498 2.362 4.160 La
```